[1]
LaSc2Ag, relaxed, DFT GGA-PBE; energy above the most stable polymorph in this dataset = 126.7 meV per atom; space group = R3m; energy relative to the elements = 0.2 eV per formula unit; total magnetic moment = 0.573 μB/cell; N(E_F) = 5.0 states/eV per cell; electronic total energy = -5.067 eV per atom
1.0
-3.5807 -8.4282 5.0542
-1.6637 -7.0566 7.5391
-4.8788 -5.9763 7.0627
Ag La Sc
1 1 2
direct
0.5071 0.5071 0.5071
0.7541 0.7541 0.7541
0.9944 0.9944 0.9944
0.2444 0.2444 0.2444

***

[2]
LaSc2Ag2, relaxed, DFT GGA-PBE; energy above the most stable polymorph in this dataset = 0.0 meV per atom; space group = P4/mbm; energy relative to the elements = -0.7 eV per formula unit; total magnetic moment = 2.019 μB/cell; N(E_F) = 7.1 states/eV per cell; electronic total energy = -4.792 eV per atom
1.0
8.4221 0.0000 0.0000
0.0000 8.4221 0.0000
0.0000 0.0000 3.2625
Sc Ag La
4 4 2
direct
0.3624 0.8624 0.0000
0.8624 0.6376 0.0000
0.6376 0.1376 0.0000
0.1376 0.3624 0.0000
0.1562 0.6562 0.5000
0.6562 0.8438 0.5000
0.8438 0.3438 0.5000
0.3438 0.1562 0.5000
0.0000 0.0000 0.0000
0.5000 0.5000 0.0000

***

[3]
LaSc2Ag, relaxed, DFT GGA-PBE; energy above the most stable polymorph in this dataset = 53.6 meV per atom; space group = Cm; energy relative to the elements = -0.1 eV per formula unit; total magnetic moment = 0.001 μB/cell; N(E_F) = 5.9 states/eV per cell; electronic total energy = -5.141 eV per atom
1.0
-1.4971 5.6043 -2.2518
-0.1866 3.6619 -5.0275
-4.6273 0.2204 -2.3390
Ag La Sc
1 1 2
direct
0.4839 0.4839 0.5154
0.2305 0.2305 0.2698
0.0068 0.0068 0.9930
0.7788 0.7788 0.7217

***

[4]
LaScAg2, relaxed, DFT GGA-PBE; energy above the most stable polymorph in this dataset = 38.5 meV per atom; space group = R-3m; energy relative to the elements = -0.9 eV per formula unit; total magnetic moment = 0.000 μB/cell; N(E_F) = 3.0 states/eV per cell; electronic total energy = -4.456 eV per atom
1.0
4.9245 0.0051 -0.0231
2.4580 4.2671 -0.0231
2.4796 1.4349 4.7625
Ag La Sc
2 1 1
direct
0.9676 0.9676 0.0970
0.5324 0.5324 0.4030
0.7500 0.7500 0.7500
0.2500 0.2500 0.2500